w | VASP calculation (PBE) on ZnCoReGe after structural relaxation.

```
data_ZnCoReGe
_cell_length_a 4.272
_cell_length_b 4.272
_cell_length_c 4.272
_cell_angle_alpha 60.00
_cell_angle_beta 60.00
_cell_angle_gamma 60.00
_symmetry_space_group_name_H-M 'P 1'
_symmetry_Int_Tables_number 1
loop_
_symmetry_equiv_pos_as_xyz
'x,y,z'
loop_
_atom_site_label
_atom_site_type_symbol
_atom_site_fract_x
_atom_site_fract_y
_atom_site_fract_z
Zn1 Zn 0.000 0.000 0.000
Co1 Co 0.500 0.500 0.500
Re1 Re 0.750 0.750 0.750
Ge1 Ge 0.250 0.250 0.250
```



x | VASP calculation (PBE) on ZnCoReGe after structural relaxation.

```
data_ZnCoReGe
_cell_length_a 4.225
_cell_length_b 4.225
_cell_length_c 4.225
_cell_angle_alpha 60.00
_cell_angle_beta 60.00
_cell_angle_gamma 60.00
_symmetry_space_group_name_H-M 'P 1'
_symmetry_Int_Tables_number 1
loop_
_symmetry_equiv_pos_as_xyz
'x,y,z'
loop_
_atom_site_label
_atom_site_type_symbol
_atom_site_fract_x
_atom_site_fract_y
_atom_site_fract_z
Zn1 Zn 0.000 0.000 0.000
Co1 Co 0.750 0.750 0.750
Re1 Re 0.250 0.250 0.250
Ge1 Ge 0.500 0.500 0.500
```



Which of them is most stable, and which least? Most stable: x; least stable: w.



w | VASP calculation (PBE) on ScCoTcGe after structural relaxation.

```
data_ScCoTcGe
_cell_length_a 4.417
_cell_length_b 4.417
_cell_length_c 4.417
_cell_angle_alpha 60.00
_cell_angle_beta 60.00
_cell_angle_gamma 60.00
_symmetry_space_group_name_H-M 'P 1'
_symmetry_Int_Tables_number 1
loop_
_symmetry_equiv_pos_as_xyz
'x,y,z'
loop_
_atom_site_label
_atom_site_type_symbol
_atom_site_fract_x
_atom_site_fract_y
_atom_site_fract_z
Sc1 Sc 0.000 0.000 0.000
Co1 Co 0.500 0.500 0.500
Tc1 Tc 0.750 0.750 0.750
Ge1 Ge 0.250 0.250 0.250
```



x | VASP calculation (PBE) on ScCoTcGe after structural relaxation.

```
data_ScCoTcGe
_cell_length_a 4.330
_cell_length_b 4.330
_cell_length_c 4.330
_cell_angle_alpha 60.00
_cell_angle_beta 60.00
_cell_angle_gamma 60.00
_symmetry_space_group_name_H-M 'P 1'
_symmetry_Int_Tables_number 1
loop_
_symmetry_equiv_pos_as_xyz
'x,y,z'
loop_
_atom_site_label
_atom_site_type_symbol
_atom_site_fract_x
_atom_site_fract_y
_atom_site_fract_z
Sc1 Sc 0.000 0.000 0.000
Co1 Co 0.750 0.750 0.750
Tc1 Tc 0.250 0.250 0.250
Ge1 Ge 0.500 0.500 0.500
```



Which of them is most stable, and which least? Most stable: x; least stable: w.



w | VASP calculation (PBE) on ZnCoGeTe3 after structural relaxation.

```
data_ZnCoGeTe3
_cell_length_a 6.989
_cell_length_b 6.989
_cell_length_c 10.363
_cell_angle_alpha 90.00
_cell_angle_beta 90.00
_cell_angle_gamma 147.01
_symmetry_space_group_name_H-M 'P 1'
_symmetry_Int_Tables_number 1
loop_
_symmetry_equiv_pos_as_xyz
'x,y,z'
loop_
_atom_site_label
_atom_site_type_symbol
_atom_site_fract_x
_atom_site_fract_y
_atom_site_fract_z
Zn1 Zn 0.038 0.962 0.750
Zn2 Zn 0.962 0.038 0.250
Co1 Co 0.500 0.500 0.000
Co2 Co 0.500 0.500 0.500
Ge1 Ge 0.260 0.740 0.250
Ge2 Ge 0.740 0.260 0.750
Te1 Te 0.133 0.867 0.535
Te2 Te 0.133 0.867 0.965
Te3 Te 0.406 0.594 0.750
Te4 Te 0.594 0.406 0.250
Te5 Te 0.867 0.133 0.035
Te6 Te 0.867 0.133 0.465
```



x | VASP calculation (PBE) on ZnCoGeTe3 after structural relaxation.

```
data_ZnCoGeTe3
_cell_length_a 8.149
_cell_length_b 8.149
_cell_length_c 9.436
_cell_angle_alpha 90.00
_cell_angle_beta 90.00
_cell_angle_gamma 153.28
_symmetry_space_group_name_H-M 'P 1'
_symmetry_Int_Tables_number 1
loop_
_symmetry_equiv_pos_as_xyz
'x,y,z'
loop_
_atom_site_label
_atom_site_type_symbol
_atom_site_fract_x
_atom_site_fract_y
_atom_site_fract_z
Zn1 Zn 0.000 0.000 0.000
Zn2 Zn 0.000 0.000 0.500
Co1 Co 0.473 0.527 0.750
Co2 Co 0.527 0.473 0.250
Ge1 Ge 0.242 0.758 0.250
Ge2 Ge 0.758 0.242 0.750
Te1 Te 0.080 0.920 0.750
Te2 Te 0.353 0.647 0.574
Te3 Te 0.353 0.647 0.926
Te4 Te 0.647 0.353 0.074
Te5 Te 0.647 0.353 0.426
Te6 Te 0.920 0.080 0.250
```



Which of them is most stable, and which least? Most stable: w; least stable: x.



w | VASP calculation (PBE) on UCo2Ge2 after structural relaxation.

```
data_UCo2Ge2
_cell_length_a 5.670
_cell_length_b 5.670
_cell_length_c 5.670
_cell_angle_alpha 138.51
_cell_angle_beta 138.51
_cell_angle_gamma 60.12
_symmetry_space_group_name_H-M 'P 1'
_symmetry_Int_Tables_number 1
loop_
_symmetry_equiv_pos_as_xyz
'x,y,z'
loop_
_atom_site_label
_atom_site_type_symbol
_atom_site_fract_x
_atom_site_fract_y
_atom_site_fract_z
U1 U 0.000 0.000 0.000
Co1 Co 0.250 0.750 0.500
Co2 Co 0.750 0.250 0.500
Ge1 Ge 0.372 0.372 0.000
Ge2 Ge 0.628 0.628 0.000
```



x | VASP calculation (PBE) on UCo2Ge2 after structural relaxation.

```
data_UCo2Ge2
_cell_length_a 4.054
_cell_length_b 4.054
_cell_length_c 9.406
_cell_angle_alpha 90.00
_cell_angle_beta 90.00
_cell_angle_gamma 90.00
_symmetry_space_group_name_H-M 'P 1'
_symmetry_Int_Tables_number 1
loop_
_symmetry_equiv_pos_as_xyz
'x,y,z'
loop_
_atom_site_label
_atom_site_type_symbol
_atom_site_fract_x
_atom_site_fract_y
_atom_site_fract_z
U1 U 0.250 0.250 0.243
U2 U 0.750 0.750 0.757
Co1 Co 0.250 0.250 0.628
Co2 Co 0.250 0.750 0.000
Co3 Co 0.750 0.250 0.000
Co4 Co 0.750 0.750 0.372
Ge1 Ge 0.250 0.250 0.869
Ge2 Ge 0.250 0.750 0.500
Ge3 Ge 0.750 0.250 0.500
Ge4 Ge 0.750 0.750 0.131
```



Which of them is most stable, and which least? Most stable: x; least stable: w.